[1]
Computed, not measured: a geometry-optimized Pr6Co2Rh structure at the PBE level of DFT.

a b c (Å): 9.784 9.847 9.889
angles (deg): 90.00 90.00 90.00
Space group Immm (No. 71)
Unique sites:
Pr1 0.000 0.181 0.173 (multiplicity 8)
Pr2 0.177 0.230 0.500 (multiplicity 8)
Pr3 0.181 0.500 0.249 (multiplicity 8)
Co1 0.000 0.000 0.388 (multiplicity 4)
Co2 0.174 0.000 0.000 (multiplicity 4)
Rh1 0.000 0.500 0.000 (multiplicity 2)
Rh2 0.000 0.500 0.500 (multiplicity 2)

Output
Calculated formation energy: -160 meV/atom
DOS(E_F): 37.32 states/eV per cell

=====

[2]
Computed, not measured: a geometry-optimized La4AlRe structure at the PBE level of DFT.

a b c (Å): 8.768 8.768 8.768
angles (deg): 90.00 90.00 90.00
Space group F-43m (No. 216)
Unique sites:
La1 0.124 0.124 0.124 (multiplicity 16)
Al1 0.000 0.000 0.500 (multiplicity 4)
Re1 0.250 0.250 0.750 (multiplicity 4)

Output
Calculated formation energy: 895 meV/atom
DOS(E_F): 39.75 states/eV per cell

=====

[3]
Computed, not measured: a geometry-optimized Ta2CdNi structure at the PBE level of DFT.

a b c (Å): 6.512 6.512 6.512
angles (deg): 90.00 90.00 90.00
Space group F-43m (No. 216)
Unique sites:
Ta1 0.000 0.000 0.000 (multiplicity 4)
Ta2 0.250 0.250 0.250 (multiplicity 4)
Cd1 0.250 0.250 0.750 (multiplicity 4)
Ni1 0.000 0.000 0.500 (multiplicity 4)

Output
Calculated formation energy: 472 meV/atom
DOS(E_F): 24.50 states/eV per cell

=====

[4]
Computed, not measured: a geometry-optimized Zn2B2Rh5Au structure at the PBE level of DFT.

a b c (Å): 9.649 9.649 2.893
angles (deg): 90.00 90.00 90.00
Space group P4/mbm (No. 127)
Unique sites:
Zn1 0.179 0.321 0.000 (multiplicity 4)
B1 0.124 0.624 0.000 (multiplicity 4)
Rh1 0.000 0.500 0.500 (multiplicity 2)
Rh2 0.072 0.774 0.500 (multiplicity 8)
Au1 0.000 0.000 0.000 (multiplicity 2)

Output
Calculated formation energy: -252 meV/atom
DOS(E_F): 10.48 states/eV per cell

=====

[5]
Computed, not measured: a geometry-optimized Be2SiWC structure at the PBE level of DFT.

a b c (Å): 3.762 3.762 4.891
angles (deg): 90.00 90.00 90.00
Space group P4/mmm (No. 123)
Unique sites:
Be1 0.000 0.500 0.000 (multiplicity 2)
Si1 0.000 0.000 0.000 (multiplicity 1)
W1 0.000 0.000 0.500 (multiplicity 1)
C1 0.500 0.500 0.500 (multiplicity 1)

Output
Energy: -25.25 eV/cell
DOS(E_F): 3.18 states/eV per cell

=====

[6]
Computed, not measured: a geometry-optimized YRuC3 structure at the PBE level of DFT.

a b c (Å): 4.299 4.299 4.299
angles (deg): 90.00 90.00 90.00
Space group Pm-3m (No. 221)
Unique sites:
Y1 0.000 0.000 0.000 (multiplicity 1)
Ru1 0.500 0.500 0.500 (multiplicity 1)
C1 0.000 0.000 0.500 (multiplicity 3)

Output
Calculated formation energy: 3202 meV/atom
Energy relative to the lowest polymorph listed for this composition: 10.418 eV per formula unit
DOS(E_F): 6.70 states/eV per cell

=====

[7]
Computed, not measured: a geometry-optimized Sm3ErGe3 structure at the PBE level of DFT.

a b c (Å): 9.0251 9.0251 5.9022
angles (deg): 90.00 90.00 120.00
Space group P6_3/m (No. 176)
Unique sites:
Sm1 0.0344 0.6976 0.2500 (multiplicity 6)
Er1 0.3333 0.6667 0.7500 (multiplicity 2)
Ge1 0.0169 0.6653 0.7500 (multiplicity 6)

Output
Calculated formation energy: -573 meV/atom
DOS(E_F): 2.99 states/eV per cell

=====

[8]
Computed, not measured: a geometry-optimized MgTe2Cl structure at the PBE level of DFT.

a b c (Å): 5.295 5.295 7.342
angles (deg): 90.00 90.00 90.00
Space group I-4m2 (No. 119)
Unique sites:
Mg1 0.000 0.000 0.000 (multiplicity 2)
Te1 0.000 0.000 0.500 (multiplicity 2)
Te2 0.000 0.500 0.750 (multiplicity 2)
Cl1 0.000 0.500 0.250 (multiplicity 2)

Output
Energy relative to the lowest polymorph listed for this composition: 2.394 eV per formula unit
DOS(E_F): 7.67 states/eV per cell

=====

[9]
Computed, not measured: a geometry-optimized ErFe2Pd7 structure at the PBE level of DFT.

a b c (Å): 7.221 12.405 4.401
angles (deg): 90.00 90.00 90.00
Space group Cmmm (No. 65)
Unique sites:
Er1 0.000 0.000 0.000 (multiplicity 2)
Fe1 0.000 0.303 0.500 (multiplicity 4)
Pd1 0.000 0.221 0.000 (multiplicity 4)
Pd2 0.000 0.500 0.500 (multiplicity 2)
Pd3 0.187 0.119 0.500 (multiplicity 8)

Output
Calculated formation energy: 114 meV/atom
DOS(E_F): 15.13 states/eV per cell

=====

[10]
Computed, not measured: a geometry-optimized SbMo2N structure at the PBE level of DFT.

a b c (Å): 6.241 6.241 6.241
angles (deg): 90.00 90.00 90.00
Space group Fm-3m (No. 225)
Unique sites:
Sb1 0.000 0.000 0.000 (multiplicity 4)
Mo1 0.250 0.250 0.250 (multiplicity 8)
N1 0.000 0.000 0.500 (multiplicity 4)

Output
Energy relative to the lowest polymorph listed for this composition: 2.896 eV per formula unit
DOS(E_F): 13.58 states/eV per cell

=====

[11]
Computed, not measured: a geometry-optimized PrPaOs structure at the PBE level of DFT.

a b c (Å): 6.860 6.860 6.860
angles (deg): 90.00 90.00 90.00
Space group F-43m (No. 216)
Unique sites:
Pr1 0.000 0.000 0.000 (multiplicity 4)
Pa1 0.000 0.000 0.500 (multiplicity 4)
Os1 0.250 0.250 0.250 (multiplicity 4)

Output
Calculated formation energy: 139 meV/atom
Energy relative to the lowest polymorph listed for this composition: 0.792 eV per formula unit
DOS(E_F): 22.95 states/eV per cell

=====

[12]
Computed, not measured: a geometry-optimized CeZn2Rh4 structure at the PBE level of DFT.

a b c (Å): 6.314 6.314 5.909
angles (deg): 90.00 90.00 90.00
Space group I4/mmm (No. 139)
Unique sites:
Ce1 0.000 0.000 0.000 (multiplicity 2)
Zn1 0.000 0.500 0.000 (multiplicity 4)
Rh1 0.250 0.250 0.250 (multiplicity 8)

Output
Calculated formation energy: -298 meV/atom
DOS(E_F): 13.39 states/eV per cell

=====

[13]
Computed, not measured: a geometry-optimized PmNd12Er5 structure at the PBE level of DFT.

a b c (Å): 10.883 5.145 10.896
angles (deg): 90.00 90.22 90.00
Space group P2/m (No. 10)
Unique sites:
Pm1 0.000 0.000 0.000 (multiplicity 1)
Nd1 0.002 0.000 0.667 (multiplicity 2)
Nd2 0.166 0.500 0.166 (multiplicity 2)
Nd3 0.169 0.500 0.502 (multiplicity 2)
Nd4 0.333 0.000 0.998 (multiplicity 2)
Nd5 0.336 0.000 0.336 (multiplicity 2)
Nd6 0.498 0.500 0.831 (multiplicity 2)
Er1 0.168 0.500 0.832 (multiplicity 2)
Er2 0.333 0.000 0.667 (multiplicity 2)
Er3 0.500 0.500 0.500 (multiplicity 1)

Output
Calculated formation energy: 21 meV/atom
DOS(E_F): 27.95 states/eV per cell

=====

[14]
Computed, not measured: a geometry-optimized KNbP2S8 structure at the PBE level of DFT.

a b c (Å): 6.0411 6.0411 28.4931
angles (deg): 90.00 90.00 120.00
Space group R-3 (No. 148, hexagonal axes)
Unique sites:
K1 0.0000 0.0000 0.0000 (multiplicity 3)
Nb1 0.0000 0.0000 0.5000 (multiplicity 3)
P1 0.0000 0.0000 0.2384 (multiplicity 6)
S1 0.0000 0.0000 0.3076 (multiplicity 6)
S2 0.0014 0.3393 0.4516 (multiplicity 18)

Output
Energy: -182.24 eV/cell

=====

[15]
Computed, not measured: a geometry-optimized SrZrS2N structure at the PBE level of DFT.

a b c (Å): 5.109 5.109 4.204
angles (deg): 90.00 90.00 90.00
Space group P4/mmm (No. 123)
Unique sites:
Sr1 0.000 0.000 0.000 (multiplicity 1)
Zr1 0.500 0.500 0.500 (multiplicity 1)
S1 0.000 0.500 0.500 (multiplicity 2)
N1 0.500 0.500 0.000 (multiplicity 1)

Output
Energy relative to the lowest polymorph listed for this composition: 0.000 eV per formula unit
DOS(E_F): 2.37 states/eV per cell

=====

[16]
Computed, not measured: a geometry-optimized ZrGeH2 structure at the PBE level of DFT.

a b c (Å): 5.603 5.603 5.603
angles (deg): 90.00 90.00 90.00
Space group Fm-3m (No. 225)
Unique sites:
Zr1 0.000 0.000 0.000 (multiplicity 4)
Ge1 0.000 0.000 0.500 (multiplicity 4)
H1 0.250 0.250 0.250 (multiplicity 8)

Output
Energy relative to the lowest polymorph listed for this composition: 1.810 eV per formula unit
DOS(E_F): 6.72 states/eV per cell

=====

[17]
Computed, not measured: a geometry-optimized ReOs structure at the PBE level of DFT.

a b c (Å): 6.026 6.026 4.645
angles (deg): 90.00 90.00 90.00
Space group P4_2/mnm (No. 136)
Unique sites:
Re1 0.177 0.177 0.000 (multiplicity 4)
Os1 0.218 0.782 0.000 (multiplicity 4)

Output
Calculated formation energy: 1454 meV/atom
Energy relative to the lowest polymorph listed for this composition: 3.093 eV per formula unit
DOS(E_F): 7.10 states/eV per cell

=====

[18]
Computed, not measured: a geometry-optimized VInRh3 structure at the PBE level of DFT.

a b c (Å): 4.521 4.521 4.521
angles (deg): 90.00 90.00 90.00
Space group Pm-3m (No. 221)
Unique sites:
V1 0.000 0.000 0.000 (multiplicity 1)
In1 0.500 0.500 0.500 (multiplicity 1)
Rh1 0.000 0.000 0.500 (multiplicity 3)

Output
Calculated formation energy: 448 meV/atom
Energy relative to the lowest polymorph listed for this composition: 0.000 eV per formula unit
DOS(E_F): 4.83 states/eV per cell

=====

[19]
Computed, not measured: a geometry-optimized PrSm4Lu structure at the PBE level of DFT.

a b c (Å): 9.410 9.410 9.410
angles (deg): 90.00 90.00 90.00
Space group F-43m (No. 216)
Unique sites:
Pr1 0.000 0.000 0.000 (multiplicity 4)
Sm1 0.124 0.124 0.376 (multiplicity 16)
Lu1 0.250 0.250 0.750 (multiplicity 4)

Output
Calculated formation energy: 259 meV/atom
DOS(E_F): 37.42 states/eV per cell

=====

[20]
Computed, not measured: a geometry-optimized Ac6La2PmPr3 structure at the PBE level of DFT.

a b c (Å): 6.718 11.647 12.605
angles (deg): 90.00 100.27 90.00
Space group C2/m (No. 12)
Unique sites:
Ac1 0.250 0.000 0.249 (multiplicity 4)
Ac2 0.250 0.166 0.751 (multiplicity 8)
La1 0.000 0.333 0.500 (multiplicity 4)
Pm1 0.000 0.000 0.500 (multiplicity 2)
Pr1 0.000 0.166 0.000 (multiplicity 4)
Pr2 0.000 0.500 0.000 (multiplicity 2)

Output
Calculated formation energy: 23 meV/atom
DOS(E_F): 39.18 states/eV per cell

=====

[21]
Computed, not measured: a geometry-optimized Er3SbPt12 structure at the PBE level of DFT.

a b c (Å): 4.097 4.097 16.373
angles (deg): 90.00 90.00 90.00
Space group P4/mmm (No. 123)
Unique sites:
Er1 0.000 0.000 0.000 (multiplicity 1)
Er2 0.000 0.000 0.248 (multiplicity 2)
Sb1 0.000 0.000 0.500 (multiplicity 1)
Pt1 0.000 0.500 0.125 (multiplicity 4)
Pt2 0.000 0.500 0.377 (multiplicity 4)
Pt3 0.500 0.500 0.000 (multiplicity 1)
Pt4 0.500 0.500 0.252 (multiplicity 2)
Pt5 0.500 0.500 0.500 (multiplicity 1)

Output
Energy: -104.06 eV/cell
DOS(E_F): 10.76 states/eV per cell

=====

[22]
Computed, not measured: a geometry-optimized Li2YCdAu2 structure at the PBE level of DFT.

a b c (Å): 4.5539 4.5539 6.5086
angles (deg): 90.00 90.00 120.00
Space group P-3m1 (No. 164)
Unique sites:
Li1 0.3333 0.6667 0.1694 (multiplicity 2)
Y1 0.0000 0.0000 0.5000 (multiplicity 1)
Cd1 0.0000 0.0000 0.0000 (multiplicity 1)
Au1 0.3333 0.6667 0.7463 (multiplicity 2)

Output
Calculated formation energy: -557 meV/atom
DOS(E_F): 3.11 states/eV per cell

=====

[23]
Computed, not measured: a geometry-optimized Ho2ScTl2 structure at the PBE level of DFT.

a b c (Å): 5.0465 5.0465 12.5609
angles (deg): 90.00 90.00 120.00
Space group P6_3/mmc (No. 194)
Unique sites:
Ho1 0.0000 0.0000 0.0000 (multiplicity 2)
Ho2 0.3333 0.6667 0.2500 (multiplicity 2)
Sc1 0.0000 0.0000 0.2500 (multiplicity 2)
Tl1 0.3333 0.6667 0.6254 (multiplicity 4)

Output
Calculated formation energy: -12 meV/atom
Energy relative to the lowest polymorph listed for this composition: 1.108 eV per formula unit
DOS(E_F): 7.49 states/eV per cell

=====

no.,density (g/cm3)
1,7.4
2,7.6
3,12.8
4,10.7
5,5.8
6,4.7
7,6.7
8,5.1
9,8.6
10,9.0
11,11.6
12,9.6
13,7.4
14,2.5
15,3.9
16,6.3
17,14.8
18,8.5
19,7.3
20,7.6
21,17.9
22,8.7
23,9.4